Compound: ZnHgWN2
Source: Alexandria via LeMat-Bulk
Functional: PBE
Structure: optimized geometry

Unit cell a=4.1233 b=4.1233 c=5.4782 alpha=90.00 beta=90.00 gamma=90.00
Fractional positions:
Zn  0.0000  0.0000  0.0000
Hg  0.5000  0.5000  0.5000
W  0.5000  0.5000  0.0000
N  0.0000  0.5000  0.5000
N  0.5000  0.0000  0.5000

Spin magnetization = 3.5 Bohr magnetons per cell
Mass density = 8.52 Mg/m³
Total energy = -17.17 eV per cell
Uncorrected formation energy = 2803 meV/atom
Density of states at the Fermi level = 4.56 states/eV/cell

=====

Compound: AcTlPd
Source: Alexandria via LeMat-Bulk
Functional: PBE
Structure: optimized geometry

Unit cell a=7.6576 b=4.7413 c=8.8682 alpha=90.00 beta=90.00 gamma=90.00
Fractional positions:
Ac  0.0359  0.2500  0.1872
Ac  0.4641  0.7500  0.6872
Ac  0.5359  0.2500  0.3128
Ac  0.9641  0.7500  0.8128
Tl  0.1507  0.2500  0.5642
Tl  0.3493  0.7500  0.0642
Tl  0.6507  0.2500  0.9358
Tl  0.8493  0.7500  0.4358
Pd  0.2470  0.7500  0.3842
Pd  0.2530  0.2500  0.8842
Pd  0.7470  0.7500  0.1158
Pd  0.7530  0.2500  0.6158

Spin magnetization = 0.0 Bohr magnetons per cell
Mass density = 11.09 Mg/m³
Total energy = -54.12 eV per cell
Energy relative to the lowest polymorph listed for this composition = 0.0132 eV per atom
Density of states at the Fermi level = 6.56 states/eV/cell

=====

Compound: LiGaRu
Source: Alexandria via LeMat-Bulk
Functional: PBE
Structure: optimized geometry

Unit cell a=4.1928 b=4.1928 c=2.6450 alpha=90.00 beta=90.00 gamma=120.00
Fractional positions:
Li  0.0000  0.0000  0.0000
Ga  0.6667  0.3333  0.8492
Ru  0.3333  0.6667  0.4282

Spin magnetization = 0.0 Bohr magnetons per cell
Mass density = 7.33 Mg/m³
Total energy = -14.73 eV per cell
Energy relative to the lowest polymorph listed for this composition = 0.0746 eV per atom
Density of states at the Fermi level = 0.98 states/eV/cell

=====

Compound: Tb2SmPa2Ru5
Source: Alexandria via LeMat-Bulk
Functional: PBE
Structure: optimized geometry

Unit cell a=10.4656 b=10.4656 c=3.8966 alpha=90.00 beta=90.00 gamma=90.00
Fractional positions:
Tb  0.1749  0.3251  0.0000
Tb  0.3251  0.8251  0.0000
Tb  0.6749  0.1749  0.0000
Tb  0.8251  0.6749  0.0000
Sm  0.0000  0.0000  0.0000
Sm  0.5000  0.5000  0.0000
Pa  0.1268  0.6268  0.0000
Pa  0.3732  0.1268  0.0000
Pa  0.6268  0.8732  0.0000
Pa  0.8732  0.3732  0.0000
Ru  0.0000  0.5000  0.5000
Ru  0.0703  0.7824  0.5000
Ru  0.2176  0.0703  0.5000
Ru  0.2824  0.5703  0.5000
Ru  0.4297  0.2824  0.5000
Ru  0.5000  0.0000  0.5000
Ru  0.5703  0.7176  0.5000
Ru  0.7176  0.4297  0.5000
Ru  0.7824  0.9297  0.5000
Ru  0.9297  0.2176  0.5000

Spin magnetization = 0.0 Bohr magnetons per cell
Mass density = 11.17 Mg/m³
Total energy = -164.65 eV per cell
Density of states at the Fermi level = 11.28 states/eV/cell

=====

Compound: BaUAs2S8
Source: Alexandria via LeMat-Bulk
Functional: PBE
Structure: optimized geometry

Unit cell a=6.2925 b=6.2925 c=9.1980 alpha=90.00 beta=90.00 gamma=120.00
Fractional positions:
Ba  0.0000  0.0000  0.0000
U  0.0000  0.0000  0.5000
As  0.3333  0.6667  0.7538
As  0.6667  0.3333  0.2462
S  0.0098  0.6761  0.3178
S  0.3239  0.3337  0.3178
S  0.3333  0.6667  0.9857
S  0.3337  0.0098  0.6822
S  0.6663  0.9902  0.3178
S  0.6667  0.3333  0.0143
S  0.6761  0.6663  0.6822
S  0.9902  0.3239  0.6822

Spin magnetization = 2.0 Bohr magnetons per cell
Mass density = 4.12 Mg/m³
Total energy = -63.22 eV per cell
Uncorrected formation energy = -641 meV/atom
Density of states at the Fermi level = 6.12 states/eV/cell

=====

Compound: Tl2FeMo
Source: Alexandria via LeMat-Bulk
Functional: PBE
Structure: optimized geometry

Unit cell a=5.4504 b=5.4504 c=5.4504 alpha=136.28 beta=136.28 gamma=63.55
Fractional positions:
Tl  0.0000  0.0000  0.0000
Tl  0.7500  0.2500  0.5000
Fe  0.2500  0.7500  0.5000
Mo  0.5000  0.5000  0.0000

Spin magnetization = 3.5 Bohr magnetons per cell
Mass density = 12.19 Mg/m³
Total energy = -20.67 eV per cell
Energy relative to the lowest polymorph listed for this composition = 0.3531 eV per atom
Density of states at the Fermi level = 4.32 states/eV/cell

=====

Compound: BeTcIr
Source: Alexandria via LeMat-Bulk
Functional: PBE
Structure: optimized geometry

Unit cell a=6.5571 b=6.3053 c=2.6718 alpha=83.36 beta=72.77 gamma=23.87
Fractional positions:
Be  0.0000  0.0000  0.0000
Tc  0.6601  0.6601  0.3399
Ir  0.3492  0.3492  0.6508

Spin magnetization = 0.0 Bohr magnetons per cell
Mass density = 12.70 Mg/m³
Total energy = -22.67 eV per cell
Energy relative to the lowest polymorph listed for this composition = 0.4603 eV per atom
Density of states at the Fermi level = 3.52 states/eV/cell

=====

Compound: PuPaCdBi
Source: Alexandria via LeMat-Bulk
Functional: PBE
Structure: optimized geometry

Unit cell a=5.3983 b=5.3983 c=5.3983 alpha=60.00 beta=60.00 gamma=60.00
Fractional positions:
Pu  0.0000  0.0000  0.0000
Pa  0.5000  0.5000  0.5000
Cd  0.2500  0.2500  0.2500
Bi  0.7500  0.7500  0.7500

Spin magnetization = 8.6 Bohr magnetons per cell
Mass density = 11.89 Mg/m³
Total energy = -28.37 eV per cell
Density of states at the Fermi level = 15.74 states/eV/cell